Record 1
The following is a PBE calculation of an optimized crystal structure of Ga2Sb2Au3, from the Alexandria database.

Properties
- energy relative to the elements, uncorrected (eV/f.u.) = -0.81
- symmetry = P2_1/c, No. 14
- magnetic moment (Bohr magnetons per cell) = 0.00
- N(E_F) (states/eV/atom) = 0.296

abc: 7.7707 5.3669 7.6901
angles: 90.00 95.84 90.00
With the nearest neighbours (Å) after each atom.
Element x y z (fractional)
Ga: 0.2022 0.2391 0.4902  4 Au 2.66-2.72, 1 Sb 2.77
Ga: 0.2022 0.2609 0.9902  4 Au 2.66-2.72, 1 Sb 2.77
Ga: 0.7978 0.7391 0.0098  4 Au 2.66-2.72, 1 Sb 2.77
Ga: 0.7978 0.7609 0.5098  4 Au 2.66-2.72, 1 Sb 2.77
Sb: 0.3197 0.6633 0.1954  3 Au 2.75-2.81, 1 Ga 2.77
Sb: 0.3197 0.8367 0.6954  3 Au 2.75-2.81, 1 Ga 2.77
Sb: 0.6803 0.1633 0.3046  3 Au 2.75-2.81, 1 Ga 2.77
Sb: 0.6803 0.3367 0.8046  3 Au 2.75-2.81, 1 Ga 2.77
Au: 0.0460 0.5128 0.7167  3 Ga 2.66-2.72, 1 Sb 2.76, 2 Au 2.84
Au: 0.0460 0.9872 0.2167  3 Ga 2.66-2.72, 1 Sb 2.76, 2 Au 2.84
Au: 0.5000 0.0000 0.0000  2 Ga 2.70, 4 Sb 2.75-2.81
Au: 0.5000 0.5000 0.5000  2 Ga 2.70, 4 Sb 2.75-2.81
Au: 0.9540 0.0128 0.7833  3 Ga 2.66-2.72, 1 Sb 2.76, 2 Au 2.84
Au: 0.9540 0.4872 0.2833  3 Ga 2.66-2.72, 1 Sb 2.76, 2 Au 2.84

=====

Record 2
The following is a PBE calculation of an optimized crystal structure of Ga3Sb5Au12, from the Alexandria database.

Properties
- energy relative to the elements, uncorrected (eV/f.u.) = 0.66
- symmetry = Ia-3d, No. 230
- magnetic moment (Bohr magnetons per cell) = 0.00
- N(E_F) (states/eV/atom) = 0.713

abc: 13.6500 13.6500 13.6500
angles: 109.47 109.47 109.47
With the nearest neighbours (Å) after each atom.
Element x y z (fractional)
Ga: 0.1250 0.2500 0.3750  8 Au 2.68-2.95
Ga: 0.1250 0.3750 0.7500  8 Au 2.68-2.95
Ga: 0.2500 0.3750 0.1250  8 Au 2.68-2.95
Ga: 0.2500 0.8750 0.6250  8 Au 2.68-2.95
Ga: 0.3750 0.1250 0.2500  8 Au 2.68-2.95
Ga: 0.3750 0.7500 0.1250  8 Au 2.68-2.95
Ga: 0.6250 0.2500 0.8750  8 Au 2.68-2.95
Ga: 0.6250 0.8750 0.7500  8 Au 2.68-2.95
Ga: 0.7500 0.1250 0.3750  8 Au 2.68-2.95
Ga: 0.7500 0.6250 0.8750  8 Au 2.68-2.95
Ga: 0.8750 0.6250 0.2500  8 Au 2.68-2.95
Ga: 0.8750 0.7500 0.6250  8 Au 2.68-2.95
Sb: 0.0000 0.0000 0.0000  6 Au 2.74
Sb: 0.0000 0.0000 0.5000  6 Au 2.74
Sb: 0.0000 0.5000 0.0000  6 Au 2.74
Sb: 0.0000 0.5000 0.5000  6 Au 2.74
Sb: 0.1250 0.7500 0.8750  4 Au 2.68
Sb: 0.1250 0.8750 0.2500  4 Au 2.68
Sb: 0.2500 0.1250 0.8750  4 Au 2.68
Sb: 0.2500 0.6250 0.3750  4 Au 2.68
Sb: 0.3750 0.2500 0.6250  4 Au 2.68
Sb: 0.3750 0.6250 0.7500  4 Au 2.68
Sb: 0.5000 0.0000 0.0000  6 Au 2.74
Sb: 0.5000 0.0000 0.5000  6 Au 2.74
Sb: 0.5000 0.5000 0.0000  6 Au 2.74
Sb: 0.5000 0.5000 0.5000  6 Au 2.74
Sb: 0.6250 0.3750 0.2500  4 Au 2.68
Sb: 0.6250 0.7500 0.3750  4 Au 2.68
Sb: 0.7500 0.3750 0.6250  4 Au 2.68
Sb: 0.7500 0.8750 0.1250  4 Au 2.68
Sb: 0.8750 0.1250 0.7500  4 Au 2.68
Sb: 0.8750 0.2500 0.1250  4 Au 2.68
Au: 0.0704 0.2353 0.1405  2 Ga 2.68-2.95, 2 Sb 2.68-2.74, 1 Au 2.78
Au: 0.0704 0.3351 0.9299  2 Ga 2.68-2.95, 2 Sb 2.68-2.74, 1 Au 2.78
Au: 0.0701 0.6405 0.4052  2 Ga 2.68-2.95, 2 Sb 2.68-2.74, 1 Au 2.78
Au: 0.0701 0.9296 0.6649  2 Ga 2.68-2.95, 2 Sb 2.68-2.74, 1 Au 2.78
Au: 0.0948 0.7353 0.6649  2 Ga 2.68-2.95, 2 Sb 2.68-2.74, 1 Au 2.78
Au: 0.0948 0.8595 0.4299  2 Ga 2.68-2.95, 2 Sb 2.68-2.74, 1 Au 2.78
Au: 0.1405 0.0704 0.2353  2 Ga 2.68-2.95, 2 Sb 2.68-2.74, 1 Au 2.78
Au: 0.1405 0.5701 0.9052  2 Ga 2.68-2.95, 2 Sb 2.68-2.74, 1 Au 2.78
Au: 0.1649 0.2353 0.5948  2 Ga 2.68-2.95, 2 Sb 2.68-2.74, 1 Au 2.78
Au: 0.1649 0.4296 0.5701  2 Ga 2.68-2.95, 2 Sb 2.68-2.74, 1 Au 2.78
Au: 0.2353 0.1405 0.0704  2 Ga 2.68-2.95, 2 Sb 2.68-2.74, 1 Au 2.78
Au: 0.2353 0.5948 0.1649  2 Ga 2.68-2.95, 2 Sb 2.68-2.74, 1 Au 2.78
Au: 0.2647 0.3351 0.9052  2 Ga 2.68-2.95, 2 Sb 2.68-2.74, 1 Au 2.78
Au: 0.2647 0.4296 0.3595  2 Ga 2.68-2.95, 2 Sb 2.68-2.74, 1 Au 2.78
Au: 0.3351 0.9052 0.2647  2 Ga 2.68-2.95, 2 Sb 2.68-2.74, 1 Au 2.78
Au: 0.3351 0.9299 0.0704  2 Ga 2.68-2.95, 2 Sb 2.68-2.74, 1 Au 2.78
Au: 0.3595 0.2647 0.4296  2 Ga 2.68-2.95, 2 Sb 2.68-2.74, 1 Au 2.78
Au: 0.3595 0.5948 0.9299  2 Ga 2.68-2.95, 2 Sb 2.68-2.74, 1 Au 2.78
Au: 0.4052 0.0701 0.6405  2 Ga 2.68-2.95, 2 Sb 2.68-2.74, 1 Au 2.78
Au: 0.4052 0.8351 0.7647  2 Ga 2.68-2.95, 2 Sb 2.68-2.74, 1 Au 2.78
Au: 0.4299 0.0948 0.8595  2 Ga 2.68-2.95, 2 Sb 2.68-2.74, 1 Au 2.78
Au: 0.4296 0.3595 0.2647  2 Ga 2.68-2.95, 2 Sb 2.68-2.74, 1 Au 2.78
Au: 0.4296 0.5701 0.1649  2 Ga 2.68-2.95, 2 Sb 2.68-2.74, 1 Au 2.78
Au: 0.4299 0.8351 0.5704  2 Ga 2.68-2.95, 2 Sb 2.68-2.74, 1 Au 2.78
Au: 0.5701 0.1649 0.4296  2 Ga 2.68-2.95, 2 Sb 2.68-2.74, 1 Au 2.78
Au: 0.5704 0.4299 0.8351  2 Ga 2.68-2.95, 2 Sb 2.68-2.74, 1 Au 2.78
Au: 0.5704 0.6405 0.7353  2 Ga 2.68-2.95, 2 Sb 2.68-2.74, 1 Au 2.78
Au: 0.5701 0.9052 0.1405  2 Ga 2.68-2.95, 2 Sb 2.68-2.74, 1 Au 2.78
Au: 0.5948 0.1649 0.2353  2 Ga 2.68-2.95, 2 Sb 2.68-2.74, 1 Au 2.78
Au: 0.5948 0.9299 0.3595  2 Ga 2.68-2.95, 2 Sb 2.68-2.74, 1 Au 2.78
Au: 0.6405 0.4052 0.0701  2 Ga 2.68-2.95, 2 Sb 2.68-2.74, 1 Au 2.78
Au: 0.6405 0.7353 0.5704  2 Ga 2.68-2.95, 2 Sb 2.68-2.74, 1 Au 2.78
Au: 0.6649 0.0701 0.9296  2 Ga 2.68-2.95, 2 Sb 2.68-2.74, 1 Au 2.78
Au: 0.6649 0.0948 0.7353  2 Ga 2.68-2.95, 2 Sb 2.68-2.74, 1 Au 2.78
Au: 0.7353 0.5704 0.6405  2 Ga 2.68-2.95, 2 Sb 2.68-2.74, 1 Au 2.78
Au: 0.7353 0.6649 0.0948  2 Ga 2.68-2.95, 2 Sb 2.68-2.74, 1 Au 2.78
Au: 0.7647 0.4052 0.8351  2 Ga 2.68-2.95, 2 Sb 2.68-2.74, 1 Au 2.78
Au: 0.7647 0.8595 0.9296  2 Ga 2.68-2.95, 2 Sb 2.68-2.74, 1 Au 2.78
Au: 0.8351 0.5704 0.4299  2 Ga 2.68-2.95, 2 Sb 2.68-2.74, 1 Au 2.78
Au: 0.8351 0.7647 0.4052  2 Ga 2.68-2.95, 2 Sb 2.68-2.74, 1 Au 2.78
Au: 0.8595 0.4299 0.0948  2 Ga 2.68-2.95, 2 Sb 2.68-2.74, 1 Au 2.78
Au: 0.8595 0.9296 0.7647  2 Ga 2.68-2.95, 2 Sb 2.68-2.74, 1 Au 2.78
Au: 0.9052 0.1405 0.5701  2 Ga 2.68-2.95, 2 Sb 2.68-2.74, 1 Au 2.78
Au: 0.9052 0.2647 0.3351  2 Ga 2.68-2.95, 2 Sb 2.68-2.74, 1 Au 2.78
Au: 0.9299 0.0704 0.3351  2 Ga 2.68-2.95, 2 Sb 2.68-2.74, 1 Au 2.78
Au: 0.9299 0.3595 0.5948  2 Ga 2.68-2.95, 2 Sb 2.68-2.74, 1 Au 2.78
Au: 0.9296 0.6649 0.0701  2 Ga 2.68-2.95, 2 Sb 2.68-2.74, 1 Au 2.78
Au: 0.9296 0.7647 0.8595  2 Ga 2.68-2.95, 2 Sb 2.68-2.74, 1 Au 2.78

=====

Record 3
The following is a PBE calculation of an optimized crystal structure of GaSbAu4, from the Alexandria database.

Properties
- energy relative to the elements, uncorrected (eV/f.u.) = -0.23
- symmetry = C2/m, No. 12
- magnetic moment (Bohr magnetons per cell) = 0.00
- N(E_F) (states/eV/atom) = 0.377
- relative energy among the computed polymorphs (eV/f.u.) = 0.00

abc: 6.7875 6.7875 5.9977
angles: 98.59 98.59 66.77
With the nearest neighbours (Å) after each atom.
Element x y z (fractional)
Ga: 0.0543 0.0543 0.3117  7 Au 2.56-2.86, 1 Ga 2.76
Ga: 0.9457 0.9457 0.6883  7 Au 2.56-2.86, 1 Ga 2.76
Sb: 0.3132 0.3132 0.7870  5 Au 2.76-2.94
Sb: 0.6868 0.6868 0.2130  5 Au 2.76-2.94
Au: 0.0797 0.6792 0.0537  2 Ga 2.73-2.86, 2 Sb 2.78-2.94, 5 Au 2.89-3.02
Au: 0.2811 0.2811 0.3199  1 Ga 2.56, 1 Sb 2.76
Au: 0.3051 0.6949 0.5000  2 Ga 2.66, 5 Au 2.89-2.91
Au: 0.3208 0.9203 0.9463  2 Ga 2.73-2.86, 2 Sb 2.78-2.94, 5 Au 2.89-3.02
Au: 0.6792 0.0797 0.0537  2 Ga 2.73-2.86, 2 Sb 2.78-2.94, 5 Au 2.89-3.02
Au: 0.6949 0.3051 0.5000  2 Ga 2.66, 5 Au 2.89-2.91
Au: 0.7189 0.7189 0.6801  1 Ga 2.56, 1 Sb 2.76
Au: 0.9203 0.3208 0.9463  2 Ga 2.73-2.86, 2 Sb 2.78-2.94, 5 Au 2.89-3.02